SmFeSe2O8: optimized geometry, PBE with a Hubbard U.

a b c (Å): 5.6199 5.6199 6.7175
angles (deg): 90.00 90.00 120.00
Space group P-3m1 (No. 164)
Symmetry-distinct sites (fractional):
Sm (0.0000, 0.0000, 0.0000) [1 per cell]
Fe (0.0000, 0.0000, 0.5000) [1 per cell]
Se (0.3333, 0.6667, 0.2241) [2 per cell]
O (0.1569, 0.3137, 0.2826) [6 per cell]
O (0.3333, 0.6667, 0.9752) [2 per cell]

**E**: -72.1 eV for the cell shown
**Calculated density**: 4.45 g/cm3